{
  "formula": "CoRe2",
  "functional": "PBE-GGA",
  "state": "relaxed",
  "lattice": [[3.143, 0.000, 0.000], [0.000, 3.143, 0.000], [0.000, 0.000, 8.378]],
  "species": ["Co", "Co", "Re", "Re", "Re", "Re"],
  "frac_coords": [[0.000, 0.000, 0.000], [0.500, 0.500, 0.500], [0.000, 0.000, 0.335], [0.000, 0.000, 0.665], [0.500, 0.500, 0.165], [0.500, 0.500, 0.835]],
  "space_group": "I4/mmm",
  "ef_ev_per_atom": 0.195,
  "de_polymorph_ev_per_atom": 0.2182
}